Ti5Si3: optimized geometry, PBE.

Values from the calculation:
As for the energy relative to the lowest polymorph listed for this composition: 53 meV/atom.

```
data_Ti5Si3
_cell_length_a 6.5593
_cell_length_b 6.5593
_cell_length_c 11.4388
_cell_angle_alpha 90.00
_cell_angle_beta 90.00
_cell_angle_gamma 90.00
_space_group_name_H-M_alt 'I 4/m c m'
_space_group_IT_number 140
_space_group_name_Hall '-I 4 2c'
loop_
_atom_site_label
_atom_site_fract_x
_atom_site_fract_y
_atom_site_fract_z
_atom_site_occupancy
Ti1 0.0000 0.0000 0.0000 1
Ti2 0.1637 0.3363 0.1518 1
Si1 0.0000 0.0000 0.2500 1
Si2 0.1312 0.3688 0.5000 1
```

=====

TiSi: optimized geometry, PBE.

```
data_TiSi
_cell_length_a 7.0506
_cell_length_b 7.0506
_cell_length_c 7.0506
_cell_angle_alpha 90.00
_cell_angle_beta 90.00
_cell_angle_gamma 90.00
_space_group_name_H-M_alt 'P m -3 n'
_space_group_IT_number 223
_space_group_name_Hall '-P 4n 2 3'
loop_
_atom_site_label
_atom_site_fract_x
_atom_site_fract_y
_atom_site_fract_z
_atom_site_occupancy
Ti1 0.0000 0.2500 0.5000 1
Si1 0.0000 0.5000 0.2500 1
```

=====

TiSi: optimized geometry, PBE.

```
data_TiSi
_cell_length_a 3.6236
_cell_length_b 4.2117
_cell_length_c 3.8211
_cell_angle_alpha 90.00
_cell_angle_beta 90.00
_cell_angle_gamma 90.00
_space_group_name_H-M_alt 'C m m m'
_space_group_IT_number 65
_space_group_name_Hall '-C 2 2'
loop_
_atom_site_label
_atom_site_fract_x
_atom_site_fract_y
_atom_site_fract_z
_atom_site_occupancy
Ti1 0.0000 0.0000 0.0000 1
Si1 0.0000 0.5000 0.5000 1
```

=====

TiSi2: optimized geometry, PBE.

```
data_TiSi2
_cell_length_a 4.8087
_cell_length_b 8.2745
_cell_length_c 8.5329
_cell_angle_alpha 90.00
_cell_angle_beta 90.00
_cell_angle_gamma 90.00
_space_group_name_H-M_alt 'F d d d'
_space_group_IT_number 70
loop_
_space_group_symop_operation_xyz
'x,y,z'
'-x,-y,-z'
'-x+1/4,-y+1/4,z'
'x+1/4,y+1/4,-z'
'x,-y+1/4,-z+1/4'
'-x,y+1/4,z+1/4'
'-x+1/4,y,-z+1/4'
'x+1/4,-y,z+1/4'
'x,y+1/2,z+1/2'
'-x,-y+1/2,-z+1/2'
'-x+1/4,-y+3/4,z+1/2'
'x+1/4,y+3/4,-z+1/2'
'x,-y+3/4,-z+3/4'
'-x,y+3/4,z+3/4'
'-x+1/4,y+1/2,-z+3/4'
'x+1/4,-y+1/2,z+3/4'
'x+1/2,y,z+1/2'
'-x+1/2,-y,-z+1/2'
'-x+3/4,-y+1/4,z+1/2'
'x+3/4,y+1/4,-z+1/2'
'x+1/2,-y+1/4,-z+3/4'
'-x+1/2,y+1/4,z+3/4'
'-x+3/4,y,-z+3/4'
'x+3/4,-y,z+3/4'
'x+1/2,y+1/2,z'
'-x+1/2,-y+1/2,-z'
'-x+3/4,-y+3/4,z'
'x+3/4,y+3/4,-z'
'x+1/2,-y+3/4,-z+1/4'
'-x+1/2,y+3/4,z+1/4'
'-x+3/4,y+1/2,-z+1/4'
'x+3/4,-y+1/2,z+1/4'
loop_
_atom_site_label
_atom_site_fract_x
_atom_site_fract_y
_atom_site_fract_z
_atom_site_occupancy
Ti1 0.1250 0.1250 0.1250 1
Si1 0.1250 0.2890 0.6250 1
```

=====

TiSi: optimized geometry, PBE.

```
data_TiSi
_cell_length_a 5.7851
_cell_length_b 5.7851
_cell_length_c 5.7851
_cell_angle_alpha 90.00
_cell_angle_beta 90.00
_cell_angle_gamma 90.00
_space_group_name_H-M_alt 'F -4 3 m'
_space_group_IT_number 216
_space_group_name_Hall 'F -4 2 3'
loop_
_atom_site_label
_atom_site_fract_x
_atom_site_fract_y
_atom_site_fract_z
_atom_site_occupancy
Ti1 0.0000 0.0000 0.0000 1
Si1 0.2500 0.2500 0.2500 1
```

=====

TiSi2: optimized geometry, PBE.

```
data_TiSi2
_cell_length_a 4.9310
_cell_length_b 4.9310
_cell_length_c 8.2162
_cell_angle_alpha 90.00
_cell_angle_beta 90.00
_cell_angle_gamma 90.00
_space_group_name_H-M_alt 'I 41/a m d'
_space_group_IT_number 141
loop_
_space_group_symop_operation_xyz
'x,y,z'
'-x,-y,-z'
'-y+1/4,x+3/4,z+1/4'
'y+1/4,-x+3/4,-z+1/4'
'-x+1/2,-y,z+1/2'
'x+1/2,y,-z+1/2'
'y+1/4,-x+1/4,z+3/4'
'-y+1/4,x+1/4,-z+3/4'
'x,-y,-z'
'-x,y,z'
'-y+1/4,-x+1/4,-z+3/4'
'y+1/4,x+1/4,z+3/4'
'-x+1/2,y,-z+1/2'
'x+1/2,-y,z+1/2'
'y+1/4,x+3/4,-z+1/4'
'-y+1/4,-x+3/4,z+1/4'
'x+1/2,y+1/2,z+1/2'
'-x+1/2,-y+1/2,-z+1/2'
'-y+3/4,x+1/4,z+3/4'
'y+3/4,-x+1/4,-z+3/4'
'-x,-y+1/2,z'
'x,y+1/2,-z'
'y+3/4,-x+3/4,z+1/4'
'-y+3/4,x+3/4,-z+1/4'
'x+1/2,-y+1/2,-z+1/2'
'-x+1/2,y+1/2,z+1/2'
'-y+3/4,-x+3/4,-z+1/4'
'y+3/4,x+3/4,z+1/4'
'-x,y+1/2,-z'
'x,-y+1/2,z'
'y+3/4,x+1/4,-z+3/4'
'-y+3/4,-x+1/4,z+3/4'
loop_
_atom_site_label
_atom_site_fract_x
_atom_site_fract_y
_atom_site_fract_z
_atom_site_occupancy
Ti1 0.0000 0.2500 0.3750 1
Si1 0.0000 0.2500 0.0535 1
```

=====

TiSi: optimized geometry, PBE.

```
data_TiSi
_cell_length_a 4.9614
_cell_length_b 5.0270
_cell_length_c 9.5170
_cell_angle_alpha 90.00
_cell_angle_beta 90.00
_cell_angle_gamma 90.00
_space_group_name_H-M_alt 'P 21 21 21'
_space_group_IT_number 19
loop_
_space_group_symop_operation_xyz
'x,y,z'
'-x+1/2,-y,z+1/2'
'x+1/2,-y+1/2,-z'
'-x,y+1/2,-z+1/2'
loop_
_atom_site_label
_atom_site_fract_x
_atom_site_fract_y
_atom_site_fract_z
_atom_site_occupancy
Ti1 0.1358 0.1012 0.0262 1
Ti2 0.1372 0.6363 0.8035 1
Si1 0.1513 0.8687 0.2785 1
Si2 0.1784 0.5985 0.0669 1
```

=====

TiSi: optimized geometry, PBE.

```
data_TiSi
_cell_length_a 4.4016
_cell_length_b 15.0186
_cell_length_c 2.8017
_cell_angle_alpha 90.00
_cell_angle_beta 90.00
_cell_angle_gamma 90.00
_space_group_name_H-M_alt 'C m m m'
_space_group_IT_number 65
_space_group_name_Hall '-C 2 2'
loop_
_atom_site_label
_atom_site_fract_x
_atom_site_fract_y
_atom_site_fract_z
_atom_site_occupancy
Ti1 0.0000 0.0000 0.0000 1
Ti2 0.0000 0.3355 0.5000 1
Si1 0.0000 0.1794 0.0000 1
Si2 0.0000 0.5000 0.5000 1
```

=====

Spin magnetization for every record listed, in sequence, given in μB/f.u.: 0.00 0.00 0.00 0.00 0.00 0.00 0.00 0.00.
Calculated volume for every record listed, in sequence, given in Å³/cell: 492.1 350.5 58.3 339.5 193.6 199.8 237.4 185.2.
ΔE_f (raw) for every record listed, in sequence, given in meV per atom: -718 625 -525 -560 606 157 -629 -459.